LiCdIn3: relaxed, PBE.

It has space group P2_1/m (No. 11), with a = 4.6574 Å, b = 9.4112 Å, c = 6.0437 Å, α = 90.00°, β = 112.43° and γ = 90.00°. The asymmetric unit holds Li at (0.0026, 0.2500, 0.0043), Cd at (0.3563, 0.7500, 0.7065), In at (0.1443, 0.0007, 0.2955) and In at (0.3576, 0.2500, 0.7067).

The distance to the lowest polymorph of the same formula comes out at 24 meV per atom. As for the energy of formation: -0.043 eV per atom. As for the calculated density: 6.291 g/cm3.

CaCo3Te: relaxed, PBE.

It has space group Pm-3m (No. 221), with a = 4.6061 Å, b = 4.6061 Å, c = 4.6061 Å, α = 90.00°, β = 90.00° and γ = 90.00°. The asymmetric unit holds Ca at (0.0000, 0.0000, 0.0000), Co at (0.0000, 0.0000, 0.5000) and Te at (0.5000, 0.5000, 0.5000).

Its raw formation energy is 1.66 eV/atom. The distance to the lowest polymorph of the same formula comes out at 1110 meV per atom. As for the calculated density: 5.853 g/cm3.

Hf12SiSn6: relaxed, PBE.

It has space group R-3 (No. 148, hexagonal axes), with a = 11.8307 Å, b = 11.8307 Å, c = 11.3079 Å, α = 90.00°, β = 90.00° and γ = 120.00°. The asymmetric unit holds Hf at (0.0327, 0.1730, 0.3859), Hf at (0.0744, 0.1858, 0.8531), Si at (0.0000, 0.0000, 0.0000) and Sn at (0.0249, 0.4095, 0.2982).

Its raw formation energy is 0.02 eV/atom. As for the calculated density: 10.475 g/cm3.

TeCI2Br: relaxed, PBE.

It has space group P4/mmm (No. 123), with a = 5.1994 Å, b = 5.1994 Å, c = 4.8013 Å, α = 90.00°, β = 90.00° and γ = 90.00°. The asymmetric unit holds Te at (0.0000, 0.0000, 0.0000), C at (0.0000, 0.0000, 0.5000), I at (0.0000, 0.5000, 0.5000) and Br at (0.5000, 0.5000, 0.0000).

Its raw formation energy is 1.12 eV/atom. The distance to the lowest polymorph of the same formula comes out at 0 meV per atom. As for the calculated density: 6.055 g/cm3.

CuSnW3: relaxed, PBE.

It has space group Pm-3m (No. 221), with a = 4.8802 Å, b = 4.8802 Å, c = 4.8802 Å, α = 90.00°, β = 90.00° and γ = 90.00°. The asymmetric unit holds Cu at (0.0000, 0.0000, 0.0000), Sn at (0.5000, 0.5000, 0.5000) and W at (0.0000, 0.5000, 0.5000).

The distance to the lowest polymorph of the same formula comes out at 1267 meV per atom. As for the energy of formation: 2.973 eV per atom. As for the calculated density: 10.483 g/cm3.

PmNd6Ho2Er: relaxed, PBE.

It has space group C2/c (No. 15), with a = 9.3077 Å, b = 15.3118 Å, c = 9.6659 Å, α = 90.00°, β = 97.11° and γ = 90.00°. The asymmetric unit holds Pm at (0.0000, 0.0280, 0.2500), Nd at (0.0618, 0.1781, 0.9452), Nd at (0.0972, 0.3905, 0.1176), Nd at (0.2149, 0.2227, 0.3132), Ho at (0.2489, 0.4511, 0.4526) and Er at (0.0000, 0.4114, 0.7500).

As for the energy of formation: 0.115 eV per atom. As for the calculated density: 7.325 g/cm3.

Ca4U3TiAs8: relaxed, PBE.

It has space group R-3m (No. 166, hexagonal axes), with a = 8.1388 Å, b = 8.1388 Å, c = 20.5574 Å, α = 90.00°, β = 90.00° and γ = 120.00°. The asymmetric unit holds Ca at (0.0000, 0.0000, 0.0000), Ca at (0.0000, 0.5000, 0.0000), U at (0.0000, 0.5000, 0.5000), Ti at (0.0000, 0.0000, 0.5000), As at (0.0000, 0.0000, 0.2448) and As at (0.0120, 0.5060, 0.2414).

As for the energy of formation: -0.958 eV per atom. As for the calculated density: 6.428 g/cm3.

ScAgI2N: relaxed, PBE.

It has space group P4/mmm (No. 123), with a = 5.8728 Å, b = 5.8728 Å, c = 3.8962 Å, α = 90.00°, β = 90.00° and γ = 90.00°. The asymmetric unit holds Sc at (0.0000, 0.0000, 0.0000), Ag at (0.5000, 0.5000, 0.5000), I at (0.0000, 0.5000, 0.5000) and N at (0.5000, 0.5000, 0.0000).

Its raw formation energy is 0.75 eV/atom. The distance to the lowest polymorph of the same formula comes out at 827 meV per atom. As for the calculated density: 5.198 g/cm3.